Here is a relaxed structure of Ac2Dy2HoHg5 from Alexandria via LeMat-Bulk. Energies are from GGA-PBE.

Computed properties:
ΔE_f ... -0.349 eV per atom
Space-group type ... P4/mbm, No. 127

Cell: 3.978 12.179 12.179 Å, 90.00 90.00 90.00°
Each line ends with the local moment (μB).
Fractional coordinates of all 20 atoms:
Hg 0.500 0.500 0.000  0.00
Dy 0.000 0.869 0.369  0.03
Ac 0.000 0.672 0.172  0.09
Ho 0.000 0.500 0.500  0.00
Dy 0.000 0.369 0.131  0.03
Dy 0.000 0.131 0.631  0.03
Hg 0.500 0.820 0.920  0.00
Dy 0.000 0.631 0.869  0.03
Hg 0.500 0.920 0.180  0.00
Hg 0.500 0.320 0.580  0.00
Hg 0.500 0.080 0.820  0.00
Hg 0.500 0.420 0.320  0.00
Hg 0.500 0.180 0.080  0.00
Ac 0.000 0.172 0.328  0.09
Ac 0.000 0.328 0.828  0.09
Ho 0.000 0.000 0.000  0.00
Hg 0.500 0.000 0.500  0.00
Hg 0.500 0.680 0.420  0.00
Ac 0.000 0.828 0.672  0.09
Hg 0.500 0.580 0.680  0.00